This record from Alexandria describes a relaxed structure of MgBeIrO6. The functional is PBE.

a = 4.821 Å, b = 4.821 Å, c = 9.009 Å
α = 90.00°, β = 90.00°, γ = 120.00°
Fractional coordinates of all 18 atoms:
Ir 0.333 0.667 0.250
Ir 0.667 0.333 0.750
O 0.642 0.989 0.862
O 0.642 0.653 0.638
O 0.358 0.347 0.362
O 0.347 0.989 0.638
O 0.011 0.358 0.638
O 0.989 0.642 0.362
O 0.989 0.347 0.138
O 0.011 0.653 0.862
O 0.653 0.011 0.362
O 0.347 0.358 0.862
O 0.653 0.642 0.138
O 0.358 0.011 0.138
Mg 0.000 0.000 0.500
Mg 0.000 0.000 0.000
Be 0.667 0.333 0.250
Be 0.333 0.667 0.750

As for the calculated volume: 10.1 A^3/atom. The magnetization is 0.00 μB/cell. For the density of states at the Fermi level, the calculation gives 6.99 states/eV per cell. The space-group type is P-31c, No. 163.



This record from Alexandria describes a relaxed structure of AcYScSe3. The functional is PBE.

a = 4.172 Å, b = 8.575 Å, c = 9.493 Å
α = 106.50°, β = 90.00°, γ = 90.00°
Fractional coordinates of all 12 atoms:
Se 0.750 0.237 0.497
Se 0.750 0.896 0.121
Se 0.250 0.553 0.821
Se 0.250 0.104 0.879
Se 0.750 0.447 0.179
Se 0.250 0.763 0.503
Sc 0.750 0.897 0.401
Sc 0.250 0.103 0.599
Y 0.250 0.662 0.141
Y 0.750 0.338 0.859
Ac 0.750 0.810 0.778
Ac 0.250 0.190 0.222

As for the calculated volume: 27.1 A^3/atom. The magnetization is 1.73 μB/cell. For the density of states at the Fermi level, the calculation gives 7.00 states/eV per cell. The space-group type is P2_1/m, No. 11.



This record from Alexandria describes a relaxed structure of DyLuMgPa. The functional is PBE.

a = 5.378 Å, b = 5.378 Å, c = 5.378 Å
α = 60.00°, β = 60.00°, γ = 60.00°
Fractional coordinates of all 4 atoms:
Dy 0.500 0.500 0.500
Lu 0.000 0.000 0.000
Pa 0.750 0.750 0.750
Mg 0.250 0.250 0.250

As for the calculated volume: 27.5 A^3/atom. The magnetization is 2.39 μB/cell. For the density of states at the Fermi level, the calculation gives 7.81 states/eV per cell. The space-group type is F-43m, No. 216.



This record from Alexandria describes a relaxed structure of AlTeSe2. The functional is PBE.

a = 6.650 Å, b = 6.650 Å, c = 6.650 Å
α = 148.83°, β = 132.29°, γ = 58.09°
Fractional coordinates of all 4 atoms:
Se 0.103 0.103 0.000
Se 0.397 0.397 0.000
Al 0.250 0.750 0.500
Te 0.750 0.250 0.500

As for the calculated volume: 27.9 A^3/atom. The magnetization is 0.00 μB/cell. For the density of states at the Fermi level, the calculation gives 1.88 states/eV per cell. The space-group type is Immm, No. 71.



This record from Alexandria describes a relaxed structure of KTaTl2. The functional is PBE.

a = 11.143 Å, b = 11.143 Å, c = 11.143 Å
α = 16.91°, β = 16.91°, γ = 16.91°
Fractional coordinates of all 4 atoms:
Ta 0.750 0.750 0.750
Tl 0.493 0.493 0.493
Tl 0.007 0.007 0.007
K 0.250 0.250 0.250

As for the calculated volume: 25.5 A^3/atom. The magnetization is 0.56 μB/cell. For the density of states at the Fermi level, the calculation gives 3.85 states/eV per cell. The space-group type is R-3m, No. 166.



This record from Alexandria describes a relaxed structure of SrAc2Pr. The functional is PBE.

a = 3.903 Å, b = 3.903 Å, c = 14.009 Å
α = 81.99°, β = 81.99°, γ = 60.00°
Fractional coordinates of all 4 atoms:
Sr 0.000 0.000 0.000
Ac 0.093 0.093 0.722
Ac 0.907 0.907 0.278
Pr 0.500 0.500 0.500

As for the calculated volume: 45.6 A^3/atom. The magnetization is 0.00 μB/cell. For the density of states at the Fermi level, the calculation gives 5.56 states/eV per cell. The space-group type is R-3m, No. 166.



This record from Alexandria describes a relaxed structure of Ac2YCdHg6. The functional is PBE.

a = 9.678 Å, b = 6.707 Å, c = 9.683 Å
α = 69.83°, β = 40.50°, γ = 90.07°
Fractional coordinates of all 10 atoms:
Ac 0.202 0.799 0.403
Ac 0.798 0.201 0.597
Hg 0.243 0.247 0.507
Hg 0.244 0.753 0.007
Hg 0.245 0.239 0.006
Hg 0.755 0.761 0.994
Hg 0.756 0.247 0.993
Hg 0.757 0.753 0.493
Cd 0.000 0.000 0.000
Y 0.500 0.500 0.000

As for the calculated volume: 34.6 A^3/atom. The magnetization is 0.00 μB/cell. For the density of states at the Fermi level, the calculation gives 11.49 states/eV per cell. The space-group type is P-1, No. 2.



This record from Alexandria describes a relaxed structure of SrN2Cl. The functional is PBE.

a = 9.872 Å, b = 4.241 Å, c = 5.316 Å
α = 66.43°, β = 80.10°, γ = 64.55°
Fractional coordinates of all 8 atoms:
Cl 0.500 0.000 0.500
Cl 0.000 0.500 0.500
N 0.750 0.149 0.981
N 0.250 0.851 0.019
N 0.250 0.130 0.018
N 0.750 0.870 0.982
Sr 0.750 0.281 0.437
Sr 0.250 0.719 0.563

As for the calculated volume: 23.0 A^3/atom. The magnetization is 2.04 μB/cell. For the density of states at the Fermi level, the calculation gives 2.37 states/eV per cell. The space-group type is P2_1/m, No. 11.



This record from Alexandria describes a relaxed structure of PaZnCo3Si. The functional is PBE.

a = 5.638 Å, b = 5.207 Å, c = 6.517 Å
α = 113.55°, β = 90.00°, γ = 90.00°
Fractional coordinates of all 12 atoms:
Si 0.250 0.381 0.761
Si 0.750 0.619 0.239
Zn 0.750 0.109 0.219
Zn 0.250 0.891 0.781
Co 0.000 0.744 0.000
Co 0.500 0.256 0.000
Co 0.000 0.256 0.000
Co 0.500 0.744 0.000
Co 0.750 0.819 0.637
Co 0.250 0.181 0.363
Pa 0.250 0.661 0.321
Pa 0.750 0.339 0.679

As for the calculated volume: 14.6 A^3/atom. The magnetization is 0.00 μB/cell. For the density of states at the Fermi level, the calculation gives 4.13 states/eV per cell. The space-group type is Cmcm, No. 63.



This record from Alexandria describes a relaxed structure of Ac4LaSe7. The functional is PBE.

a = 4.329 Å, b = 7.639 Å, c = 12.901 Å
α = 104.67°, β = 90.00°, γ = 106.46°
Fractional coordinates of all 12 atoms:
Ac 0.000 0.999 0.998
Ac 0.112 0.223 0.426
Ac 0.699 0.397 0.807
Ac 0.302 0.604 0.192
La 0.887 0.775 0.578
Se 0.339 0.679 0.950
Se 0.957 0.914 0.216
Se 0.741 0.482 0.355
Se 0.266 0.533 0.649
Se 0.660 0.320 0.049
Se 0.495 0.991 0.502
Se 0.042 0.084 0.779

As for the calculated volume: 32.9 A^3/atom. The magnetization is 0.00 μB/cell. For the density of states at the Fermi level, the calculation gives 1.78 states/eV per cell. The space-group type is Cm, No. 8.



This record from Alexandria describes a relaxed structure of Ba2LiZn12Cu3. The functional is PBE.

a = 8.187 Å, b = 8.187 Å, c = 8.187 Å
α = 63.47°, β = 63.47°, γ = 63.47°
Fractional coordinates of all 18 atoms:
Ba 0.620 0.620 0.620
Ba 0.380 0.380 0.380
Zn 0.322 0.322 0.853
Zn 0.678 0.147 0.678
Zn 0.657 0.103 0.103
Zn 0.897 0.343 0.897
Zn 0.103 0.657 0.103
Zn 0.678 0.678 0.147
Zn 0.147 0.678 0.678
Zn 0.322 0.853 0.322
Zn 0.103 0.103 0.657
Zn 0.853 0.322 0.322
Zn 0.343 0.897 0.897
Zn 0.897 0.897 0.343
Cu 0.000 0.500 0.000
Cu 0.000 0.000 0.500
Cu 0.500 0.000 0.000
Li 0.000 0.000 0.000

As for the calculated volume: 23.2 A^3/atom. The magnetization is 0.00 μB/cell. For the density of states at the Fermi level, the calculation gives 9.64 states/eV per cell. The space-group type is R-3m, No. 166.



no.,total energy (eV per cell)
1,-110.65
2,-74.18
3,-18.82
4,-14.31
5,-15.74
6,-14.12
7,-18.93
8,-47.88
9,-77.13
10,-69.74
11,-30.25